# 1
# DyMg11Cd

An optimized crystal structure of DyMg11Cd (PBE, the Alexandria database).

Results
The volume is 23.4 Å³ per atom. For the size of the total moment, the calculation gives 0.00 μB per cell. The value obtained for the formation energy is -0.0429 eV per atom. The calculated density comes out at 2.96 g/cm3.

Cell and atoms, written as POSCAR:
```
DyMg11Cd
1.0
1.698 -1.206 5.540
2.357 -7.311 0.745
7.553 1.393 1.150
Dy Mg Cd
1 11 1
Cartesian
0.000 0.000 0.000
2.579 -1.609 2.006
9.030 -5.515 5.429
4.292 -6.070 3.599
7.317 -1.054 3.836
7.045 -4.254 3.165
4.564 -2.870 4.270
7.450 -2.866 6.547
4.160 -4.258 0.887
1.179 -3.656 0.372
4.626 0.094 3.345
3.777 0.697 0.575
2.028 -4.259 3.143
```

***

# 2
# Dy3Mg5Cd2

An optimized crystal structure of Dy3Mg5Cd2 (PBE, the Alexandria database).

Results
The volume is 26.2 Å³ per atom. For the size of the total moment, the calculation gives 0.00 μB per cell. The value obtained for the formation energy is -0.0024 eV per atom. The calculated density comes out at 5.28 g/cm3.

Cell and atoms, written as POSCAR:
```
Dy3Mg5Cd2
1.0
6.216 0.000 0.000
3.108 9.056 -1.660
3.108 0.802 9.172
Dy Mg Cd
6 10 4
Cartesian
1.554 0.000 0.000
4.662 0.000 0.000
6.216 4.027 7.484
6.216 5.831 0.027
9.324 8.285 1.896
3.108 1.573 5.615
4.662 4.929 3.756
7.770 4.929 3.756
7.770 7.341 5.594
7.770 2.517 1.918
4.662 2.517 1.918
4.662 7.341 5.594
3.108 4.979 1.224
9.324 4.879 6.287
6.216 2.502 4.476
6.216 7.356 3.036
3.108 6.429 -1.061
9.324 3.429 8.572
6.216 0.683 6.480
6.216 9.175 1.031
```

***

# 3
# Dy3Mg4Cd4

An optimized crystal structure of Dy3Mg4Cd4 (PBE, the Alexandria database).

Results
The volume is 24.4 Å³ per atom. For the size of the total moment, the calculation gives 0.00 μB per cell. The value obtained for the formation energy is -0.2185 eV per atom. The calculated density comes out at 6.40 g/cm3.

Cell and atoms, written as POSCAR:
```
Dy3Mg4Cd4
1.0
3.407 -0.001 0.386
-0.088 4.946 0.780
-0.066 0.036 15.924
Dy Mg Cd
3 4 4
Cartesian
0.369 3.196 12.001
2.884 1.785 5.089
-0.066 0.036 15.924
1.943 0.485 13.287
0.847 1.323 7.820
2.407 3.659 9.269
1.311 4.496 3.803
1.755 2.739 15.060
1.498 2.243 2.029
0.986 4.049 6.607
2.268 0.932 10.483
```

***

Result set for raw total energy: -1.82, -2.36, -2.39 eV per atom, one per record in the order listed.